Arrangement A

# KB3Pb | Alexandria via LeMat-Bulk | PBE | optimized geometry
data_KB3Pb
_chemical_formula_sum 'K1 B3 Pb1'
_cell_length_a 4.911
_cell_length_b 4.911
_cell_length_c 4.911
_cell_angle_alpha 90.00
_cell_angle_beta 90.00
_cell_angle_gamma 90.00
_symmetry_space_group_name_H-M 'P m -3 m'
_symmetry_Int_Tables_number 221
_symmetry_space_group_name_Hall '-P 4 2 3'
loop_
_atom_site_label
_atom_site_fract_x
_atom_site_fract_y
_atom_site_fract_z
_atom_site_occupancy
K1 0.000 0.000 0.000 1
B1 0.000 0.500 0.500 1
Pb1 0.500 0.500 0.500 1
# calculated volume	23.69	Å³ per atom
# Fermi-level density of states	4.3	states/eV/cell

***

Arrangement B

# KB3Pb | Alexandria via LeMat-Bulk | PBE | optimized geometry
data_KB3Pb
_chemical_formula_sum 'K1 B3 Pb1'
_cell_length_a 4.926
_cell_length_b 4.926
_cell_length_c 4.926
_cell_angle_alpha 90.00
_cell_angle_beta 90.00
_cell_angle_gamma 90.00
_symmetry_space_group_name_H-M 'P m -3 m'
_symmetry_Int_Tables_number 221
_symmetry_space_group_name_Hall '-P 4 2 3'
loop_
_atom_site_label
_atom_site_fract_x
_atom_site_fract_y
_atom_site_fract_z
_atom_site_occupancy
K1 0.000 0.000 0.000 1
B1 0.000 0.000 0.500 1
Pb1 0.500 0.500 0.500 1
# calculated volume	23.91	Å³ per atom
# Fermi-level density of states	4.1	states/eV/cell

***

The structure with the most favorable energy is arrangement A; the runner-up is 798 meV/atom above it.

***

Arrangement A

# KB3Pd | Alexandria via LeMat-Bulk | PBE | optimized geometry
data_KB3Pd
_chemical_formula_sum 'K1 B3 Pd1'
_cell_length_a 4.606
_cell_length_b 4.606
_cell_length_c 4.606
_cell_angle_alpha 90.00
_cell_angle_beta 90.00
_cell_angle_gamma 90.00
_symmetry_space_group_name_H-M 'P m -3 m'
_symmetry_Int_Tables_number 221
_symmetry_space_group_name_Hall '-P 4 2 3'
loop_
_atom_site_label
_atom_site_fract_x
_atom_site_fract_y
_atom_site_fract_z
_atom_site_occupancy
K1 0.000 0.000 0.000 1
B1 0.000 0.000 0.500 1
Pd1 0.500 0.500 0.500 1
# calculated volume	19.54	Å³ per atom
# Fermi-level density of states	5.5	states/eV/cell

***

Arrangement B

# KB3Pd | Alexandria via LeMat-Bulk | PBE | optimized geometry
data_KB3Pd
_chemical_formula_sum 'K1 B3 Pd1'
_cell_length_a 4.230
_cell_length_b 4.230
_cell_length_c 4.230
_cell_angle_alpha 90.00
_cell_angle_beta 90.00
_cell_angle_gamma 90.00
_symmetry_space_group_name_H-M 'P m -3 m'
_symmetry_Int_Tables_number 221
_symmetry_space_group_name_Hall '-P 4 2 3'
loop_
_atom_site_label
_atom_site_fract_x
_atom_site_fract_y
_atom_site_fract_z
_atom_site_occupancy
K1 0.000 0.000 0.000 1
B1 0.000 0.500 0.500 1
Pd1 0.500 0.500 0.500 1
# calculated volume	15.14	Å³ per atom
# Fermi-level density of states	2.5	states/eV/cell

***

The structure with the most favorable energy is arrangement B; the runner-up is 2099 meV/atom above it.

***

Arrangement A

# KB2Pd | Alexandria via LeMat-Bulk | PBE | optimized geometry
data_KB2Pd
_chemical_formula_sum 'K4 B8 Pd4'
_cell_length_a 6.133
_cell_length_b 6.133
_cell_length_c 6.133
_cell_angle_alpha 90.00
_cell_angle_beta 90.00
_cell_angle_gamma 90.00
_symmetry_space_group_name_H-M 'F m -3 m'
_symmetry_Int_Tables_number 225
_symmetry_space_group_name_Hall '-F 4 2 3'
loop_
_atom_site_label
_atom_site_fract_x
_atom_site_fract_y
_atom_site_fract_z
_atom_site_occupancy
K1 0.000 0.000 0.000 1
B1 0.250 0.250 0.250 1
Pd1 0.000 0.000 0.500 1
# calculated volume	14.42	Å³ per atom
# Fermi-level density of states	8.6	states/eV/cell

***

Arrangement B

# KB2Pd | Alexandria via LeMat-Bulk | PBE | optimized geometry
data_KB2Pd
_chemical_formula_sum 'K4 B8 Pd4'
_cell_length_a 5.275
_cell_length_b 5.275
_cell_length_c 11.964
_cell_angle_alpha 90.00
_cell_angle_beta 90.00
_cell_angle_gamma 90.00
_symmetry_space_group_name_H-M 'I 41/a m d'
_symmetry_Int_Tables_number 141
loop_
_symmetry_equiv_pos_as_xyz
'x,y,z'
'-x,-y,-z'
'-y+1/4,x+3/4,z+1/4'
'y+1/4,-x+3/4,-z+1/4'
'-x+1/2,-y,z+1/2'
'x+1/2,y,-z+1/2'
'y+1/4,-x+1/4,z+3/4'
'-y+1/4,x+1/4,-z+3/4'
'x,-y,-z'
'-x,y,z'
'-y+1/4,-x+1/4,-z+3/4'
'y+1/4,x+1/4,z+3/4'
'-x+1/2,y,-z+1/2'
'x+1/2,-y,z+1/2'
'y+1/4,x+3/4,-z+1/4'
'-y+1/4,-x+3/4,z+1/4'
'x+1/2,y+1/2,z+1/2'
'-x+1/2,-y+1/2,-z+1/2'
'-y+3/4,x+1/4,z+3/4'
'y+3/4,-x+1/4,-z+3/4'
'-x,-y+1/2,z'
'x,y+1/2,-z'
'y+3/4,-x+3/4,z+1/4'
'-y+3/4,x+3/4,-z+1/4'
'x+1/2,-y+1/2,-z+1/2'
'-x+1/2,y+1/2,z+1/2'
'-y+3/4,-x+3/4,-z+1/4'
'y+3/4,x+3/4,z+1/4'
'-x,y+1/2,-z'
'x,-y+1/2,z'
'y+3/4,x+1/4,-z+3/4'
'-y+3/4,-x+1/4,z+3/4'
loop_
_atom_site_label
_atom_site_fract_x
_atom_site_fract_y
_atom_site_fract_z
_atom_site_occupancy
K1 0.000 0.250 0.375 1
B1 0.000 0.000 0.000 1
Pd1 0.000 0.250 0.875 1
# calculated volume	20.81	Å³ per atom
# Fermi-level density of states	6.5	states/eV/cell

***

The structure with the most favorable energy is arrangement B; the runner-up is 973 meV/atom above it.